Record 1
Density functional theory data (GGA-PBE) for a relaxed ZnCuW2 crystal.

total DFT energy (no corrections) = -7.66 eV per atom
formation energy = 0.6 eV/f.u.
crystal system = orthorhombic

a = 2.6817 Å, b = 2.6817 Å, c = 8.5701 Å
α = 90.00°, β = 90.00°, γ = 105.80°
Sites, in units of the cell vectors:
W 0.0000 0.0000 0.9886
W 0.5000 0.5000 0.2537
Zn 0.0000 0.0000 0.5142
Cu 0.5000 0.5000 0.7435

=====

Record 2
Density functional theory data (GGA-PBE) for a relaxed ZnCu2W crystal.

total DFT energy (no corrections) = -5.26 eV per atom
formation energy = 1.4 eV/f.u.
crystal system = tetragonal

a = 4.5634 Å, b = 4.5634 Å, c = 2.6529 Å
α = 90.00°, β = 90.00°, γ = 90.00°
Sites, in units of the cell vectors:
Cu 0.0000 0.0000 0.0000
Cu 0.5000 0.5000 0.0000
Zn 0.0000 0.5000 0.5000
W 0.5000 0.0000 0.5000

=====

Record 3
Density functional theory data (GGA-PBE) for a relaxed ZnCu2W crystal.

total DFT energy (no corrections) = -5.14 eV per atom
formation energy = 1.9 eV/f.u.
crystal system = tetragonal

a = 4.5527 Å, b = 4.5527 Å, c = 4.5527 Å
α = 129.62°, β = 129.62°, γ = 74.02°
Sites, in units of the cell vectors:
W 0.5000 0.5000 0.0000
Zn 0.7500 0.2500 0.5000
Cu 0.2500 0.7500 0.5000
Cu 0.0000 0.0000 0.0000

=====

Record 4
Density functional theory data (GGA-PBE) for a relaxed ZnCuW2 crystal.

total DFT energy (no corrections) = -7.28 eV per atom
formation energy = 2.2 eV/f.u.
crystal system = tetragonal

a = 4.6374 Å, b = 4.6374 Å, c = 2.6995 Å
α = 90.00°, β = 90.00°, γ = 90.00°
Sites, in units of the cell vectors:
Zn 0.5000 0.0000 0.5000
Cu 0.0000 0.5000 0.5000
W 0.5000 0.5000 0.0000
W 0.0000 0.0000 0.0000

=====

Record 5
Density functional theory data (GGA-PBE) for a relaxed ZnCu2W crystal.

total DFT energy (no corrections) = -5.37 eV per atom
formation energy = 1.0 eV/f.u.
crystal system = trigonal

a = 8.8531 Å, b = 8.8531 Å, c = 8.8531 Å
α = 17.66°, β = 17.66°, γ = 17.66°
Sites, in units of the cell vectors:
W 0.5024 0.5024 0.5024
Cu 0.2539 0.2539 0.2539
Cu 0.9986 0.9986 0.9986
Zn 0.7452 0.7452 0.7452

=====

Record 6
Density functional theory data (GGA-PBE) for a relaxed ZnCu2W crystal.

total DFT energy (no corrections) = -5.30 eV per atom
formation energy = 1.2 eV/f.u.
crystal system = orthorhombic

a = 5.2795 Å, b = 5.2795 Å, c = 5.2795 Å
α = 151.33°, β = 128.35°, γ = 60.14°
Sites, in units of the cell vectors:
Zn 0.7634 0.2634 0.5000
Cu 0.2377 0.7377 0.5000
Cu 0.0023 0.0023 0.0000
W 0.4966 0.4966 0.0000

=====

Record 7
Density functional theory data (GGA-PBE) for a relaxed ZnCu3W crystal.

total DFT energy (no corrections) = -4.05 eV per atom
formation energy = 6.3 eV/f.u.
crystal system = cubic

a = 4.2601 Å, b = 4.2601 Å, c = 4.2601 Å
α = 90.00°, β = 90.00°, γ = 90.00°
Sites, in units of the cell vectors:
Cu 0.5000 0.0000 0.0000
Cu 0.0000 0.0000 0.5000
Cu 0.0000 0.5000 0.0000
W 0.5000 0.5000 0.5000
Zn 0.0000 0.0000 0.0000

=====

Record 8
Density functional theory data (GGA-PBE) for a relaxed ZnCuW2 crystal.

total DFT energy (no corrections) = -7.60 eV per atom
formation energy = 0.9 eV/f.u.
crystal system = monoclinic

a = 4.2489 Å, b = 2.7151 Å, c = 5.1658 Å
α = 81.45°, β = 90.00°, γ = 90.00°
Sites, in units of the cell vectors:
Cu 0.5000 0.5897 0.7469
Zn 0.0000 0.6571 0.5040
W 0.5000 0.2394 0.2584
W 0.0000 0.0139 0.9908

=====

Record 9
Density functional theory data (GGA-PBE) for a relaxed ZnCu2W crystal.

total DFT energy (no corrections) = -5.19 eV per atom
formation energy = 1.7 eV/f.u.
crystal system = tetragonal

a = 4.5493 Å, b = 4.5493 Å, c = 4.5493 Å
α = 129.74°, β = 129.74°, γ = 73.82°
Sites, in units of the cell vectors:
Cu 0.5000 0.5000 0.0000
Cu 0.0000 0.0000 0.0000
Zn 0.7500 0.2500 0.5000
W 0.2500 0.7500 0.5000

=====

Record 10
Density functional theory data (GGA-PBE) for a relaxed ZnCuW2 crystal.

total DFT energy (no corrections) = -7.29 eV per atom
formation energy = 2.1 eV/f.u.
crystal system = tetragonal

a = 3.2490 Å, b = 3.2490 Å, c = 5.5572 Å
α = 90.00°, β = 90.00°, γ = 90.00°
Sites, in units of the cell vectors:
W 0.0000 0.0000 0.9771
W 0.0000 0.0000 0.5229
Zn 0.5000 0.5000 0.2500
Cu 0.5000 0.5000 0.7500

=====

Record 11
Density functional theory data (GGA-PBE) for a relaxed ZnCu2W crystal.

total DFT energy (no corrections) = -5.35 eV per atom
formation energy = 1.0 eV/f.u.
crystal system = monoclinic

a = 4.0890 Å, b = 2.6053 Å, c = 5.3038 Å
α = 75.00°, β = 90.00°, γ = 90.00°
Sites, in units of the cell vectors:
Cu 0.5000 0.0530 0.2609
Cu 0.0000 0.2039 0.9876
W 0.0000 0.4443 0.4722
Zn 0.5000 0.7988 0.7794

=====

Record 12
Density functional theory data (GGA-PBE) for a relaxed ZnCuW2 crystal.

total DFT energy (no corrections) = -7.03 eV per atom
formation energy = 3.2 eV/f.u.
crystal system = tetragonal

a = 3.6825 Å, b = 3.6825 Å, c = 9.9230 Å
α = 79.31°, β = 79.31°, γ = 90.00°
Sites, in units of the cell vectors:
Zn 0.7500 0.2500 0.5000
Zn 0.0000 0.0000 0.0000
Cu 0.5000 0.5000 0.0000
Cu 0.2500 0.7500 0.5000
W 0.3750 0.3742 0.7500
W 0.6258 0.1250 0.2500
W 0.8750 0.8758 0.7500
W 0.1242 0.6250 0.2500

=====

Record 13
Density functional theory data (GGA-PBE) for a relaxed ZnCuW2 crystal.

total DFT energy (no corrections) = -7.49 eV per atom
formation energy = 1.3 eV/f.u.
crystal system = tetragonal

a = 3.2425 Å, b = 3.2425 Å, c = 5.7255 Å
α = 90.00°, β = 90.00°, γ = 90.00°
Sites, in units of the cell vectors:
Cu 0.5000 0.5000 0.7340
W 0.5000 0.5000 0.2374
W 0.0000 0.0000 0.0113
Zn 0.0000 0.0000 0.5173

=====

Record 14
Density functional theory data (GGA-PBE) for a relaxed ZnCuW2 crystal.

total DFT energy (no corrections) = -7.48 eV per atom
formation energy = 1.3 eV/f.u.
crystal system = monoclinic

a = 4.7494 Å, b = 4.7494 Å, c = 4.9314 Å
α = 84.28°, β = 84.28°, γ = 32.47°
Sites, in units of the cell vectors:
W 0.9956 0.9956 0.9962
W 0.7517 0.7517 0.7538
Zn 0.5017 0.5017 0.4879
Cu 0.2511 0.2511 0.2621

=====

Record 15
Density functional theory data (GGA-PBE) for a relaxed ZnCuW2 crystal.

total DFT energy (no corrections) = -7.50 eV per atom
formation energy = 1.3 eV/f.u.
crystal system = monoclinic

a = 5.6243 Å, b = 4.9587 Å, c = 2.6645 Å
α = 86.17°, β = 69.15°, γ = 118.13°
Sites, in units of the cell vectors:
Cu 0.5000 0.5000 0.0000
W 0.5000 0.0000 0.5000
W 0.0000 0.0000 0.0000
Zn 0.0000 0.5000 0.5000

=====

Record 16
Density functional theory data (GGA-PBE) for a relaxed ZnCuW2 crystal.

total DFT energy (no corrections) = -7.54 eV per atom
formation energy = 1.1 eV/f.u.
crystal system = trigonal

a = 9.2672 Å, b = 9.2672 Å, c = 9.2672 Å
α = 17.14°, β = 17.14°, γ = 17.14°
Sites, in units of the cell vectors:
W 0.0040 0.0040 0.0040
W 0.2481 0.2481 0.2481
Zn 0.4953 0.4953 0.4953
Cu 0.7526 0.7526 0.7526

=====

Record 17
Density functional theory data (GGA-PBE) for a relaxed ZnCu2W crystal.

total DFT energy (no corrections) = -5.34 eV per atom
formation energy = 1.1 eV/f.u.
crystal system = monoclinic

a = 3.8421 Å, b = 2.6094 Å, c = 6.2281 Å
α = 61.00°, β = 90.00°, γ = 90.00°
Sites, in units of the cell vectors:
Cu 0.0000 0.0209 0.9987
Cu 0.0000 0.4791 0.5013
W 0.5000 0.2500 0.2500
Zn 0.5000 0.7500 0.7500

=====

Record 18
Density functional theory data (GGA-PBE) for a relaxed ZnCu2W crystal.

total DFT energy (no corrections) = -5.42 eV per atom
formation energy = 0.7 eV/f.u.
crystal system = trigonal

a = 8.9400 Å, b = 8.9400 Å, c = 8.9400 Å
α = 17.36°, β = 17.36°, γ = 17.36°
Sites, in units of the cell vectors:
Cu 0.4978 0.4978 0.4978
Cu 0.0022 0.0022 0.0022
Zn 0.7500 0.7500 0.7500
W 0.2500 0.2500 0.2500

=====

Record 19
Density functional theory data (GGA-PBE) for a relaxed ZnCuW2 crystal.

total DFT energy (no corrections) = -7.40 eV per atom
formation energy = 1.7 eV/f.u.
crystal system = trigonal

a = 9.2385 Å, b = 9.2385 Å, c = 9.2385 Å
α = 17.17°, β = 17.17°, γ = 17.17°
Sites, in units of the cell vectors:
Cu 0.7500 0.7500 0.7500
W 0.0014 0.0014 0.0014
W 0.4986 0.4986 0.4986
Zn 0.2500 0.2500 0.2500

=====

Record 20
Density functional theory data (GGA-PBE) for a relaxed ZnCuW2 crystal.

total DFT energy (no corrections) = -7.52 eV per atom
formation energy = 1.2 eV/f.u.
crystal system = monoclinic

a = 4.1582 Å, b = 2.6557 Å, c = 5.7909 Å
α = 66.19°, β = 90.00°, γ = 90.00°
Sites, in units of the cell vectors:
Zn 0.5000 0.2500 0.2500
W 0.0000 0.4998 0.5033
W 0.0000 0.0002 0.9967
Cu 0.5000 0.7500 0.7500